1.
The following is a PBE calculation of an optimized crystal structure of KErPN3, from Alexandria.

Crystal system ... monoclinic
Energy ... -38.66 eV/f.u.
Total moment ... 0.00 μB per cell

Cell and atoms, written as POSCAR:
```
KErPN3
1.0
6.106 -1.877 0.000
6.106 1.877 0.000
-2.183 0.000 7.470
K Er P N
2 2 2 6
Direct
0.146 0.146 0.060 K
0.854 0.854 0.940 K
0.149 0.149 0.571 Er
0.851 0.851 0.429 Er
0.490 0.490 0.734 P
0.510 0.510 0.266 P
0.009 0.009 0.296 N
0.348 0.348 0.635 N
0.371 0.371 0.249 N
0.629 0.629 0.751 N
0.652 0.652 0.365 N
0.991 0.991 0.704 N
```

2.
The following is a PBE calculation of an optimized crystal structure of K3ErPa2N6, from Alexandria.

Crystal system ... monoclinic
Energy ... -87.84 eV/f.u.
Total moment ... 1.60 μB per cell

Cell and atoms, written as POSCAR:
```
K3ErPa2N6
1.0
3.049 -5.436 0.000
3.049 5.436 0.000
-1.934 0.000 6.446
K Er Pa N
3 1 2 6
Direct
0.000 0.000 0.000 K
0.336 0.664 0.000 K
0.664 0.336 0.000 K
0.500 0.500 0.500 Er
0.165 0.835 0.500 Pa
0.835 0.165 0.500 Pa
0.094 0.435 0.334 N
0.213 0.213 0.668 N
0.435 0.094 0.334 N
0.565 0.906 0.666 N
0.787 0.787 0.332 N
0.906 0.565 0.666 N
```

3.
The following is a PBE calculation of an optimized crystal structure of K2ErNbO6, from Alexandria.

Crystal system ... cubic
Energy ... -68.96 eV/f.u.
Total moment ... 2.04 μB per cell

Cell and atoms, written as POSCAR:
```
K2ErNbO6
1.0
0.000 4.256 4.256
4.256 0.000 4.256
4.256 4.256 0.000
K Er Nb O
2 1 1 6
Direct
0.250 0.250 0.250 K
0.750 0.750 0.750 K
0.000 0.000 0.000 Er
0.500 0.500 0.500 Nb
0.264 0.264 0.736 O
0.264 0.736 0.264 O
0.264 0.736 0.736 O
0.736 0.264 0.264 O
0.736 0.264 0.736 O
0.736 0.736 0.264 O
```

4.
The following is a PBE calculation of an optimized crystal structure of K3Er3NbSe8, from Alexandria.

Crystal system ... trigonal
Energy ... -77.64 eV/f.u.
Total moment ... 1.01 μB per cell

Cell and atoms, written as POSCAR:
```
K3Er3NbSe8
1.0
4.056 2.342 7.854
-4.056 2.342 7.854
0.000 -4.683 7.854
K Er Nb Se
3 3 1 8
Direct
0.000 0.500 0.500 K
0.500 0.000 0.500 K
0.500 0.500 0.000 K
0.000 0.000 0.500 Er
0.000 0.500 0.000 Er
0.500 0.000 0.000 Er
0.500 0.500 0.500 Nb
0.235 0.235 0.235 Se
0.249 0.723 0.723 Se
0.277 0.277 0.751 Se
0.277 0.751 0.277 Se
0.723 0.249 0.723 Se
0.723 0.723 0.249 Se
0.751 0.277 0.277 Se
0.765 0.765 0.765 Se
```

5.
The following is a PBE calculation of an optimized crystal structure of K3NdEr2O6, from Alexandria.

Crystal system ... monoclinic
Energy ... -79.67 eV/f.u.
Total moment ... 0.00 μB per cell

Cell and atoms, written as POSCAR:
```
K3NdEr2O6
1.0
3.042 -5.269 0.000
3.042 5.269 0.000
-2.027 0.000 6.272
K Nd Er O
3 1 2 6
Direct
0.000 0.000 0.000 K
0.332 0.668 0.000 K
0.668 0.332 0.000 K
0.500 0.500 0.500 Nd
0.167 0.833 0.500 Er
0.833 0.167 0.500 Er
0.092 0.438 0.314 O
0.216 0.216 0.686 O
0.438 0.092 0.314 O
0.562 0.908 0.686 O
0.784 0.784 0.314 O
0.908 0.562 0.686 O
```

6.
The following is a PBE calculation of an optimized crystal structure of K3Nd2ErO6, from Alexandria.

Crystal system ... monoclinic
Energy ... -79.12 eV/f.u.
Total moment ... 0.00 μB per cell

Cell and atoms, written as POSCAR:
```
K3Nd2ErO6
1.0
3.099 -5.370 0.000
3.099 5.370 0.000
-2.065 0.000 6.291
K Nd Er O
3 2 1 6
Direct
0.000 0.000 0.000 K
0.336 0.664 0.000 K
0.664 0.336 0.000 K
0.167 0.833 0.500 Nd
0.833 0.167 0.500 Nd
0.500 0.500 0.500 Er
0.116 0.437 0.311 O
0.242 0.242 0.688 O
0.437 0.116 0.311 O
0.563 0.884 0.689 O
0.758 0.758 0.312 O
0.884 0.563 0.689 O
```

7.
The following is a PBE calculation of an optimized crystal structure of K2NdErO4, from Alexandria.

Crystal system ... monoclinic
Energy ... -52.88 eV/f.u.
Total moment ... 0.00 μB per cell

Cell and atoms, written as POSCAR:
```
K2NdErO4
1.0
6.144 0.000 0.000
0.000 3.547 0.000
-2.043 0.000 6.283
K Nd Er O
2 1 1 4
Direct
0.000 0.000 0.000 K
0.500 0.500 0.000 K
0.000 0.500 0.500 Nd
0.500 0.000 0.500 Er
0.241 0.000 0.689 O
0.281 0.500 0.314 O
0.719 0.500 0.686 O
0.759 0.000 0.311 O
```

8.
The following is a PBE calculation of an optimized crystal structure of K2NdErS4, from Alexandria.

Crystal system ... monoclinic
Energy ... -42.94 eV/f.u.
Total moment ... 0.00 μB per cell

Cell and atoms, written as POSCAR:
```
K2NdErS4
1.0
7.119 0.000 0.000
0.000 4.108 0.000
-2.369 0.000 7.383
K Nd Er S
2 1 1 4
Direct
0.000 0.000 0.000 K
0.500 0.500 0.000 K
0.000 0.500 0.500 Nd
0.500 0.000 0.500 Er
0.245 0.000 0.706 S
0.275 0.500 0.298 S
0.725 0.500 0.702 S
0.755 0.000 0.294 S
```

9.
The following is a PBE calculation of an optimized crystal structure of K3NdEr2Se6, from Alexandria.

Crystal system ... monoclinic
Energy ... -59.13 eV/f.u.
Total moment ... 0.00 μB per cell

Cell and atoms, written as POSCAR:
```
K3NdEr2Se6
1.0
3.670 -6.357 0.000
3.670 6.357 0.000
-2.448 0.000 7.690
K Nd Er Se
3 1 2 6
Direct
0.000 0.000 0.000 K
0.335 0.665 0.000 K
0.665 0.335 0.000 K
0.500 0.500 0.500 Nd
0.167 0.833 0.500 Er
0.833 0.167 0.500 Er
0.088 0.431 0.294 Se
0.225 0.225 0.706 Se
0.431 0.088 0.294 Se
0.569 0.912 0.706 Se
0.775 0.775 0.294 Se
0.912 0.569 0.706 Se
```

10.
The following is a PBE calculation of an optimized crystal structure of K4Nd3ErSe8, from Alexandria.

Crystal system ... trigonal
Energy ... -79.14 eV/f.u.
Total moment ... 0.00 μB per cell

Cell and atoms, written as POSCAR:
```
K4Nd3ErSe8
1.0
4.309 2.488 7.702
-4.309 2.488 7.702
0.000 -4.975 7.702
K Nd Er Se
4 3 1 8
Direct
0.000 0.000 0.000 K
0.000 0.500 0.500 K
0.500 0.000 0.500 K
0.500 0.500 0.000 K
0.000 0.000 0.500 Nd
0.000 0.500 0.000 Nd
0.500 0.000 0.000 Nd
0.500 0.500 0.500 Er
0.237 0.237 0.237 Se
0.245 0.731 0.731 Se
0.269 0.269 0.755 Se
0.269 0.755 0.269 Se
0.731 0.245 0.731 Se
0.731 0.731 0.245 Se
0.755 0.269 0.269 Se
0.763 0.763 0.763 Se
```

11.
The following is a PBE calculation of an optimized crystal structure of K4NdEr3Se8, from Alexandria.

Crystal system ... trigonal
Energy ... -78.76 eV/f.u.
Total moment ... 0.00 μB per cell

Cell and atoms, written as POSCAR:
```
K4NdEr3Se8
1.0
4.224 2.439 7.685
-4.224 2.439 7.685
0.000 -4.878 7.685
K Nd Er Se
4 1 3 8
Direct
0.000 0.000 0.000 K
0.000 0.500 0.500 K
0.500 0.000 0.500 K
0.500 0.500 0.000 K
0.500 0.500 0.500 Nd
0.000 0.000 0.500 Er
0.000 0.500 0.000 Er
0.500 0.000 0.000 Er
0.227 0.740 0.740 Se
0.234 0.234 0.234 Se
0.260 0.260 0.773 Se
0.260 0.773 0.260 Se
0.740 0.227 0.740 Se
0.740 0.740 0.227 Se
0.766 0.766 0.766 Se
0.773 0.260 0.260 Se
```

12.
The following is a PBE calculation of an optimized crystal structure of K2NdErSe4, from Alexandria.

Crystal system ... monoclinic
Energy ... -39.46 eV/f.u.
Total moment ... 0.00 μB per cell

Cell and atoms, written as POSCAR:
```
K2NdErSe4
1.0
7.392 0.000 0.000
0.000 4.266 0.000
-2.463 0.000 7.694
K Nd Er Se
2 1 1 4
Direct
0.000 0.000 0.000 K
0.500 0.500 0.000 K
0.000 0.500 0.500 Nd
0.500 0.000 0.500 Er
0.245 0.000 0.709 Se
0.274 0.500 0.295 Se
0.726 0.500 0.705 Se
0.755 0.000 0.291 Se
```

13.
The following is a PBE calculation of an optimized crystal structure of K3NdEr2Te6, from Alexandria.

Crystal system ... monoclinic
Energy ... -52.73 eV/f.u.
Total moment ... 0.00 μB per cell

Cell and atoms, written as POSCAR:
```
K3NdEr2Te6
1.0
3.913 -6.778 0.000
3.913 6.778 0.000
-2.612 0.000 8.247
K Nd Er Te
3 1 2 6
Direct
0.000 0.000 0.000 K
0.336 0.664 0.000 K
0.664 0.336 0.000 K
0.500 0.500 0.500 Nd
0.167 0.833 0.500 Er
0.833 0.167 0.500 Er
0.088 0.430 0.291 Te
0.227 0.227 0.709 Te
0.430 0.088 0.291 Te
0.570 0.912 0.709 Te
0.773 0.773 0.291 Te
0.912 0.570 0.709 Te
```

14.
The following is a PBE calculation of an optimized crystal structure of K3Nd3ErTe8, from Alexandria.

Crystal system ... trigonal
Energy ... -67.11 eV/f.u.
Total moment ... 0.00 μB per cell

Cell and atoms, written as POSCAR:
```
K3Nd3ErTe8
1.0
4.502 2.599 8.514
-4.502 2.599 8.514
0.000 -5.199 8.514
K Nd Er Te
3 3 1 8
Direct
0.000 0.500 0.500 K
0.500 0.000 0.500 K
0.500 0.500 0.000 K
0.000 0.000 0.500 Nd
0.000 0.500 0.000 Nd
0.500 0.000 0.000 Nd
0.500 0.500 0.500 Er
0.239 0.239 0.239 Te
0.245 0.732 0.732 Te
0.268 0.268 0.755 Te
0.268 0.755 0.268 Te
0.732 0.245 0.732 Te
0.732 0.732 0.245 Te
0.755 0.268 0.268 Te
0.761 0.761 0.761 Te
```

15.
The following is a PBE calculation of an optimized crystal structure of KNd2ErTe4, from Alexandria.

Crystal system ... monoclinic
Energy ... -38.39 eV/f.u.
Total moment ... 0.00 μB per cell

Cell and atoms, written as POSCAR:
```
KNd2ErTe4
1.0
7.883 0.000 0.000
0.000 4.459 0.000
-2.493 0.000 7.486
K Nd Er Te
1 2 1 4
Direct
0.000 0.000 0.000 K
0.500 0.000 0.500 Nd
0.500 0.500 0.000 Nd
0.000 0.500 0.500 Er
0.243 0.000 0.737 Te
0.254 0.500 0.265 Te
0.746 0.500 0.735 Te
0.757 0.000 0.263 Te
```

16.
The following is a PBE calculation of an optimized crystal structure of KNd2Er3Te6, from Alexandria.

Crystal system ... monoclinic
Energy ... -59.09 eV/f.u.
Total moment ... 0.00 μB per cell

Cell and atoms, written as POSCAR:
```
KNd2Er3Te6
1.0
9.820 -2.186 0.000
9.820 2.186 0.000
-2.380 0.000 8.803
K Nd Er Te
1 2 3 6
Direct
0.000 0.000 0.000 K
0.327 0.327 0.649 Nd
0.673 0.673 0.351 Nd
0.000 0.000 0.500 Er
0.336 0.336 0.174 Er
0.664 0.664 0.826 Er
0.161 0.161 0.595 Te
0.174 0.174 0.079 Te
0.500 0.500 0.269 Te
0.500 0.500 0.731 Te
0.826 0.826 0.921 Te
0.839 0.839 0.405 Te
```

17.
The following is a PBE calculation of an optimized crystal structure of KNd3Er2Te6, from Alexandria.

Crystal system ... monoclinic
Energy ... -59.31 eV/f.u.
Total moment ... 0.00 μB per cell

Cell and atoms, written as POSCAR:
```
KNd3Er2Te6
1.0
9.808 -2.216 0.000
9.808 2.216 0.000
-2.166 0.000 8.835
K Nd Er Te
1 3 2 6
Direct
0.000 0.000 0.000 K
0.000 0.000 0.500 Nd
0.343 0.343 0.184 Nd
0.657 0.657 0.816 Nd
0.334 0.334 0.662 Er
0.666 0.666 0.338 Er
0.170 0.170 0.573 Te
0.174 0.174 0.094 Te
0.492 0.492 0.740 Te
0.508 0.508 0.260 Te
0.826 0.826 0.906 Te
0.830 0.830 0.427 Te
```

18.
The following is a PBE calculation of an optimized crystal structure of KEr2Ni, from Alexandria.

Crystal system ... trigonal
Total moment ... 0.00 μB per cell
Formation energy from the elements ... -0.005 eV per atom

Cell and atoms, written as POSCAR:
```
KEr2Ni
1.0
1.982 1.145 10.856
-1.982 1.145 10.856
0.000 -2.289 10.856
K Er Ni
1 2 1
Direct
0.000 0.000 0.000 K
0.125 0.125 0.125 Er
0.875 0.875 0.875 Er
0.500 0.500 0.500 Ni
```

19.
The following is a PBE calculation of an optimized crystal structure of KEr2NpO6, from Alexandria.

Crystal system ... trigonal
Energy ... -83.47 eV/f.u.
Total moment ... 2.00 μB per cell

Cell and atoms, written as POSCAR:
```
KEr2NpO6
1.0
2.951 1.704 5.194
-2.951 1.704 5.194
0.000 -3.408 5.194
K Er Np O
1 2 1 6
Direct
0.000 0.000 0.000 K
0.258 0.258 0.258 Er
0.774 0.774 0.774 Er
0.464 0.464 0.464 Np
0.075 0.593 0.448 O
0.185 0.526 0.861 O
0.448 0.075 0.593 O
0.526 0.861 0.185 O
0.593 0.448 0.075 O
0.861 0.185 0.526 O
```

20.
The following is a PBE calculation of an optimized crystal structure of KEr2NpO8, from Alexandria.

Crystal system ... monoclinic
Energy ... -94.53 eV/f.u.
Total moment ... 0.00 μB per cell

Cell and atoms, written as POSCAR:
```
KEr2NpO8
1.0
5.059 0.000 0.000
0.000 7.612 0.000
-0.004 0.000 5.083
K Er Np O
1 2 1 8
Direct
0.000 0.000 0.000 K
0.500 0.282 0.500 Er
0.500 0.718 0.500 Er
0.000 0.500 0.000 Np
0.199 0.309 0.176 O
0.199 0.691 0.176 O
0.287 0.500 0.692 O
0.377 0.000 0.588 O
0.623 0.000 0.412 O
0.713 0.500 0.308 O
0.801 0.309 0.824 O
0.801 0.691 0.824 O
```

21.
The following is a PBE calculation of an optimized crystal structure of K3Er3NpO8, from Alexandria.

Crystal system ... trigonal
Energy ... -111.98 eV/f.u.
Total moment ... 3.00 μB per cell

Cell and atoms, written as POSCAR:
```
K3Er3NpO8
1.0
3.453 1.994 6.334
-3.453 1.994 6.334
0.000 -3.987 6.334
K Er Np O
3 3 1 8
Direct
0.000 0.500 0.500 K
0.500 0.000 0.500 K
0.500 0.500 0.000 K
0.000 0.000 0.500 Er
0.000 0.500 0.000 Er
0.500 0.000 0.000 Er
0.500 0.500 0.500 Np
0.226 0.226 0.226 O
0.232 0.721 0.721 O
0.279 0.279 0.768 O
0.279 0.768 0.279 O
0.721 0.232 0.721 O
0.721 0.721 0.232 O
0.768 0.279 0.279 O
0.774 0.774 0.774 O
```